No. 1
Computed, not measured: an optimized crystal structure of Nd3Cu4Ge4 at the PBEsol level of DFT.

- DFT total energy: -5.42 eV/atom

Structure (POSCAR):
```
Nd3Cu4Ge4
1.0
-1.9021 -2.2679 -3.0781
1.6476 -5.6155 3.1192
-5.9329 4.1560 3.5664
Cu Ge Nd
4 4 3
Direct
0.6665 0.4802 0.3331
0.3335 0.1471 0.6669
0.3335 0.5198 0.6669
0.6665 0.8529 0.3331
0.5000 0.8106 0.0000
0.7838 0.2838 0.5675
0.5000 0.1894 0.0000
0.2162 0.7162 0.4325
0.1326 0.1326 0.2653
0.0000 0.5000 0.0000
0.8674 0.8674 0.7347
```

No. 2
Computed, not measured: an optimized crystal structure of Nd3CuGeSe7 at the PBEsol level of DFT.

- Energy relative to the elements, uncorrected: -1.327 eV per atom

Structure (POSCAR):
```
Nd3CuGeSe7
1.0
-5.5578 -2.2920 0.4374
4.0263 -9.1853 3.0274
-2.4329 7.2630 7.1467
Nd Se Cu Ge
6 14 2 2
Direct
0.7525 0.2251 0.8696
0.2525 0.7749 0.1304
0.2525 0.3555 0.2251
0.7525 0.6445 0.7749
0.2525 0.8696 0.6445
0.7525 0.1304 0.3555
0.7676 0.2573 0.1624
0.0099 0.4829 0.9042
0.5566 0.3333 0.6667
0.2676 0.0948 0.2573
0.0099 0.4214 0.5171
0.7676 0.9052 0.7427
0.0566 0.6667 0.3333
0.5099 0.5786 0.4829
0.2676 0.7427 0.8376
0.5099 0.5171 0.0958
0.0099 0.0958 0.5786
0.7676 0.8376 0.0948
0.2676 0.1624 0.9052
0.5099 0.9042 0.4214
0.2787 0.0000 0.0000
0.7787 0.0000 0.0000
0.6700 0.6667 0.3333
0.1700 0.3333 0.6667
```

No. 3
Computed, not measured: an optimized crystal structure of Cu3GeP2O10 at the PBEsol level of DFT.

- Energy relative to the elements, uncorrected: -1.457 eV per atom

Structure (POSCAR):
```
Cu3GeP2O10
1.0
-2.3732 2.3010 3.2748
-6.8676 -0.5038 -4.6230
-0.9566 -9.2291 2.4269
O Cu P Ge
20 6 4 2
Direct
0.6148 0.4269 0.8274
0.2719 0.4028 0.5335
0.0261 0.2500 0.6978
0.1782 0.5967 0.8601
0.3852 0.5731 0.1726
0.7281 0.5972 0.4665
0.1782 0.9033 0.8601
0.3852 0.9269 0.1726
0.8919 0.7500 0.0128
0.2719 0.0972 0.5335
0.8218 0.4033 0.1399
0.7281 0.9028 0.4665
0.1081 0.2500 0.9872
0.2921 0.2500 0.2535
0.6148 0.0731 0.8274
0.7079 0.7500 0.7465
0.7982 0.2500 0.4290
0.9739 0.7500 0.3022
0.2018 0.7500 0.5710
0.8218 0.0967 0.1399
0.4458 0.9340 0.6670
0.5000 0.0000 0.0000
0.5000 0.5000 0.0000
0.5542 0.0660 0.3330
0.5542 0.4340 0.3330
0.4458 0.5660 0.6670
0.9043 0.7500 0.4536
0.9989 0.7500 0.8668
0.0957 0.2500 0.5464
0.0011 0.2500 0.1332
0.8140 0.2500 0.8239
0.1860 0.7500 0.1761
```

No. 4
Computed, not measured: an optimized crystal structure of CuGe5Pb3O14 at the PBEsol level of DFT.

- Energy relative to the elements, uncorrected: -1.474 eV per atom

Structure (POSCAR):
```
CuGe5Pb3O14
1.0
8.0870 0.0000 0.0000
4.0435 8.9863 0.0137
4.0435 3.1420 8.6028
Cu O Ge Pb
2 28 10 6
Direct
0.0000 0.0000 0.0000
0.0000 0.5000 0.5000
0.7584 0.1694 0.9838
0.6913 0.2768 0.4134
0.4278 0.4797 0.2133
0.3358 0.4052 0.7034
0.2958 0.2730 0.5322
0.9946 0.6318 0.8234
0.1209 0.0203 0.2867
0.9115 0.3306 0.5162
0.8990 0.7730 0.0322
0.8791 0.9797 0.7133
0.1010 0.2270 0.9678
0.3815 0.2232 0.0866
0.5503 0.1318 0.3234
0.6185 0.7768 0.9134
0.4497 0.8682 0.6766
0.0054 0.3682 0.1766
0.2416 0.8306 0.0162
0.4444 0.0948 0.7966
0.8573 0.9210 0.2119
0.5722 0.5203 0.7867
0.3087 0.7232 0.5866
0.0885 0.6694 0.4838
0.1427 0.0790 0.7881
0.9902 0.5790 0.2881
0.6642 0.5948 0.2966
0.0098 0.4210 0.7119
0.5556 0.9052 0.2034
0.7042 0.7270 0.4678
0.8397 0.8089 0.8666
0.5909 0.0897 0.1552
0.4849 0.3089 0.3666
0.8358 0.4103 0.3448
0.7767 0.7500 0.2500
0.5151 0.6911 0.6334
0.2233 0.2500 0.7500
0.1603 0.1911 0.1334
0.4091 0.9103 0.8448
0.1642 0.5897 0.6552
0.6539 0.2500 0.7500
0.1610 0.0624 0.5573
0.2193 0.5624 0.0573
0.3461 0.7500 0.2500
0.8390 0.9376 0.4427
0.7807 0.4376 0.9427
```

No. 5
Computed, not measured: an optimized crystal structure of Sm2CuGe2O8 at the PBEsol level of DFT.

- Energy relative to the elements, uncorrected: -2.298 eV per atom

Structure (POSCAR):
```
Sm2CuGe2O8
1.0
5.1169 -0.0015 0.0000
-0.1117 8.2379 0.0000
-2.5026 -4.1182 7.5770
Sm O Ge Cu
4 16 4 2
Direct
0.3669 0.0428 0.2412
0.3546 0.5407 0.2398
0.1257 0.8016 0.7588
0.1148 0.3010 0.7602
0.6000 0.8396 0.3416
0.6658 0.2511 0.1885
0.0022 0.9983 0.0000
0.9264 0.0017 0.6547
0.2584 0.4980 0.6584
0.1669 0.0960 0.4687
0.2717 0.3471 0.3453
0.8227 0.5733 0.8145
0.0082 0.7588 0.1855
0.4894 0.4942 0.0000
0.6982 0.6274 0.5313
0.4774 0.0626 0.8115
0.7142 0.2672 0.5170
0.1972 0.7503 0.4830
0.4902 0.8348 0.0000
0.9907 0.3358 0.0000
0.6971 0.6666 0.0000
0.5489 0.4682 0.5778
0.9711 0.8903 0.4222
0.7812 0.1624 0.0000
0.9616 0.3342 0.4139
0.5477 0.9203 0.5861
```

No. 6
Computed, not measured: an optimized crystal structure of Sr2CuGe2O7 at the PBEsol level of DFT.

- Energy relative to the elements, uncorrected: -1.991 eV per atom

Structure (POSCAR):
```
Sr2CuGe2O7
1.0
5.2040 0.0000 0.0000
0.0000 8.2567 0.0000
0.0000 0.0000 8.2567
O Sr Ge Cu
14 4 4 2
Direct
0.6750 0.0000 0.5000
0.6911 0.0863 0.8208
0.2008 0.1346 0.6346
0.3089 0.5863 0.6792
0.3089 0.4137 0.3208
0.3250 0.5000 0.0000
0.7992 0.6346 0.8654
0.2008 0.8654 0.3654
0.6911 0.3208 0.5863
0.6911 0.9137 0.1792
0.6911 0.6792 0.4137
0.3089 0.1792 0.0863
0.3089 0.8208 0.9137
0.7992 0.3654 0.1346
0.9905 0.3353 0.8353
0.0095 0.8353 0.6647
0.0095 0.1647 0.3353
0.9905 0.6647 0.1647
0.5328 0.1414 0.6414
0.5328 0.8586 0.3586
0.4672 0.3586 0.1414
0.4672 0.6414 0.8586
0.5000 0.0000 0.0000
0.5000 0.5000 0.5000
```

No. 7
Computed, not measured: an optimized crystal structure of Tb2CuGe4O12 at the PBEsol level of DFT.

- Energy relative to the elements, uncorrected: -2.100 eV per atom

Structure (POSCAR):
```
Tb2CuGe4O12
1.0
-2.9626 3.1556 -2.3353
-2.2303 -3.8572 -5.6497
-6.4119 -4.3391 1.5154
Tb O Cu Ge
2 12 1 4
Direct
0.9496 0.2322 0.5455
0.0504 0.7678 0.4545
0.2294 0.0642 0.3901
0.7505 0.2270 0.8094
0.2629 0.3052 0.0113
0.5928 0.3435 0.2868
0.7706 0.9358 0.6099
0.2495 0.7730 0.1906
0.4072 0.6565 0.7132
0.2481 0.0116 0.7982
0.7371 0.6948 0.9887
0.7519 0.9884 0.2018
0.7795 0.5787 0.3967
0.2205 0.4213 0.6033
0.0000 0.0000 0.0000
0.4628 0.1653 0.2233
0.4196 0.3805 0.7960
0.5372 0.8347 0.7767
0.5804 0.6195 0.2040
```

No. 8
Computed, not measured: an optimized crystal structure of Tm2CuGe4O12 at the PBEsol level of DFT.

- Energy relative to the elements, uncorrected: -2.122 eV per atom

Structure (POSCAR):
```
Tm2CuGe4O12
1.0
4.9200 -0.0149 -0.0286
1.5014 6.9146 -0.0753
0.3527 3.1064 7.1037
Ge O Tm Cu
4 12 2 1
Direct
0.4638 0.1612 0.2269
0.5815 0.6210 0.2079
0.5362 0.8388 0.7731
0.4185 0.3790 0.7921
0.7514 0.2280 0.8051
0.2495 0.0188 0.7958
0.3971 0.6601 0.7101
0.2651 0.3029 0.0113
0.7349 0.6971 0.9887
0.2196 0.4237 0.5949
0.2251 0.0639 0.3933
0.7749 0.9361 0.6067
0.2486 0.7720 0.1949
0.7505 0.9812 0.2042
0.7804 0.5763 0.4051
0.6029 0.3399 0.2899
0.9510 0.2322 0.5458
0.0490 0.7678 0.4542
0.0000 0.0000 0.0000
```

No. 9
Computed, not measured: an optimized crystal structure of CuGeW2O at the PBEsol level of DFT.

- Energy relative to the elements, uncorrected: 2.168 eV per atom

Structure (POSCAR):
```
CuGeW2O
1.0
-1.9245 -3.5657 0.1889
3.5112 -2.0086 -2.1421
1.9766 -0.8528 4.0395
O Cu W Ge
1 1 2 1
Direct
0.5000 0.5000 0.5000
0.0000 0.0000 0.0000
0.0000 0.5000 0.0000
0.0000 0.0000 0.5000
0.5000 0.0000 0.0000
```

No. 10
Computed, not measured: an optimized crystal structure of ZnCuGe2O6 at the PBEsol level of DFT.

- Energy relative to the elements, uncorrected: -1.343 eV per atom

Structure (POSCAR):
```
ZnCuGe2O6
1.0
-4.6237 -0.6181 2.1501
-2.5920 -4.5897 -4.1062
1.3161 -5.0576 4.1633
O Zn Ge Cu
12 2 4 2
Direct
0.9086 0.5727 0.7079
0.8832 0.8630 0.3750
0.1168 0.1370 0.6250
0.3832 0.3750 0.8630
0.6218 0.9772 0.7975
0.4086 0.7079 0.5727
0.8782 0.2025 0.0228
0.5914 0.2921 0.4273
0.0914 0.4273 0.2921
0.6168 0.6250 0.1370
0.1218 0.7975 0.9772
0.3782 0.0228 0.2025
0.7500 0.2655 0.7345
0.2500 0.7345 0.2655
0.2105 0.6072 0.7935
0.2895 0.2065 0.3928
0.7105 0.7935 0.6072
0.7895 0.3928 0.2065
0.7500 0.9046 0.0954
0.2500 0.0954 0.9046
```

No. 11
Computed, not measured: an optimized crystal structure of CuGeP2 at the PBEsol level of DFT.

- DFT total energy: -5.25 eV/atom

Structure (POSCAR):
```
CuGeP2
1.0
-0.4500 3.8178 3.6448
0.1067 -3.6506 3.8371
5.3764 0.3104 -3.5109
Cu Ge P
2 2 4
Direct
0.7500 0.2500 0.5000
0.5000 0.5000 0.0000
0.0000 0.0000 0.0000
0.2500 0.7500 0.5000
0.8575 0.3750 0.2500
0.3925 0.8750 0.2500
0.6250 0.6075 0.7500
0.1250 0.1425 0.7500
```

No. 12
Computed, not measured: an optimized crystal structure of CuGePS2 at the PBEsol level of DFT.

- Energy relative to the elements, uncorrected: 0.912 eV per atom

Structure (POSCAR):
```
CuGePS2
1.0
-1.9023 4.1983 -0.5012
-4.1067 -1.9461 -0.7145
-0.8574 0.1508 4.5172
P S Cu Ge
1 2 1 1
Direct
0.5000 0.0000 0.0000
0.0000 0.0000 0.5000
0.0000 0.5000 0.0000
0.5000 0.5000 0.5000
0.0000 0.0000 0.0000
```

No. 13
Computed, not measured: an optimized crystal structure of CuGe3Pd at the PBEsol level of DFT.

- DFT total energy: -4.39 eV/atom

Structure (POSCAR):
```
CuGe3Pd
1.0
-2.7927 -1.8358 3.3772
1.0244 -4.3788 -1.5333
3.7049 -0.1731 2.9696
Pd Ge Cu
1 3 1
Direct
0.0000 0.0000 0.0000
0.0000 0.5000 0.0000
0.0000 0.0000 0.5000
0.5000 0.0000 0.0000
0.5000 0.5000 0.5000
```

No. 14
Computed, not measured: an optimized crystal structure of CuGe2Pd at the PBEsol level of DFT.

- DFT total energy: -5.10 eV/atom

Structure (POSCAR):
```
CuGe2Pd
1.0
-3.4705 2.2886 -1.3812
-0.8088 0.3777 -4.2887
-3.4266 -2.0742 -1.7737
Cu Pd Ge
1 1 2
Direct
0.0000 0.0000 0.0000
0.5000 0.5000 0.5000
0.7500 0.7500 0.7500
0.2500 0.2500 0.2500
```

No. 15
Computed, not measured: an optimized crystal structure of Pm2CuGe at the PBEsol level of DFT.

- DFT total energy: -5.36 eV/atom

Structure (POSCAR):
```
Pm2CuGe
1.0
5.0171 0.0000 0.0000
2.5086 4.3449 0.0000
2.5086 1.4483 4.0965
Pm Cu Ge
2 1 1
Direct
0.2500 0.2500 0.2500
0.7500 0.7500 0.7500
0.5000 0.5000 0.5000
0.0000 0.0000 0.0000
```

No. 16
Computed, not measured: an optimized crystal structure of Pr3CuGeSe7 at the PBEsol level of DFT.

- Energy relative to the elements, uncorrected: -1.329 eV per atom

Structure (POSCAR):
```
Pr3CuGeSe7
1.0
-3.3450 1.7770 4.7186
-6.7567 -7.8860 -1.8200
8.2412 -1.4915 6.4040
Se Ge Pr Cu
14 2 6 2
Direct
0.5120 0.9030 0.4822
0.2665 0.7439 0.9060
0.5120 0.5178 0.4208
0.0556 0.6667 0.3333
0.0120 0.4822 0.5792
0.5120 0.5792 0.0970
0.0120 0.4208 0.9030
0.7665 0.8379 0.7439
0.5556 0.3333 0.6667
0.2665 0.1621 0.2561
0.0120 0.0970 0.5178
0.2665 0.0940 0.8379
0.7665 0.2561 0.0940
0.7665 0.9060 0.1621
0.6703 0.6667 0.3333
0.1703 0.3333 0.6667
0.2524 0.8699 0.2254
0.7524 0.1301 0.7746
0.2524 0.3556 0.1301
0.7524 0.6444 0.8699
0.2524 0.7746 0.6444
0.7524 0.2254 0.3556
0.7775 0.0000 0.0000
0.2775 0.0000 0.0000
```

No. 17
Computed, not measured: an optimized crystal structure of CuGe2Pt at the PBEsol level of DFT.

- DFT total energy: -5.32 eV/atom

Structure (POSCAR):
```
CuGe2Pt
1.0
-4.0480 -1.7034 0.1272
-1.1080 -3.2389 -2.7542
-0.6235 -4.0701 1.5328
Ge Cu Pt
2 1 1
Direct
0.7500 0.7500 0.7500
0.2500 0.2500 0.2500
0.0000 0.0000 0.0000
0.5000 0.5000 0.5000
```